Entry 1:
DFT (PBE) results for CsPu3F9 after structural relaxation.

```
13
Lattice="8.827 0.000 0.000 -4.413 7.644 0.000 0.000 0.000 4.637" Properties=species:S:1:pos:R:3 pbc="T T T"
Cs 0.000 0.000 0.000
Pu -2.207 3.822 2.318
Pu 4.413 0.000 2.318
Pu 2.207 3.822 2.318
F -2.207 3.822 0.000
F 0.000 3.026 2.318
F -1.793 6.131 2.318
F 2.621 1.513 2.318
F 4.413 0.000 0.000
F 2.207 3.822 0.000
F 1.793 6.131 2.318
F 6.206 1.513 2.318
F 4.413 4.618 2.318
```

Calculated values
VASP energy = -104.51 eV for the cell shown
size of the total moment = 15.995 μB/cell
uncorrected formation energy = -3.37 eV per atom

---

Entry 2:
DFT (PBE) results for Cs2PuF4 after structural relaxation.

```
14
Lattice="7.253 0.000 0.000 0.000 12.234 0.000 0.000 0.000 4.029" Properties=species:S:1:pos:R:3 pbc="T T T"
Cs 0.329 2.150 0.000
Cs 3.298 8.267 0.000
Cs 3.955 3.967 0.000
Cs 6.924 10.084 0.000
Pu 0.000 6.117 2.015
Pu 3.627 0.000 2.015
F 1.018 8.236 2.015
F 1.234 5.409 0.000
F 2.393 11.527 0.000
F 2.608 2.119 2.015
F 4.645 10.116 2.015
F 4.860 0.708 0.000
F 6.020 6.825 0.000
F 6.235 3.999 2.015
```

Calculated values
VASP energy = -87.00 eV for the cell shown
size of the total moment = 11.801 μB/cell
uncorrected formation energy = -2.85 eV per atom

---

Entry 3:
DFT (PBE) results for Cs2PuF6 after structural relaxation.

```
9
Lattice="6.962 -3.464 0.000 6.962 3.464 0.000 -1.220 0.000 3.999" Properties=species:S:1:pos:R:3 pbc="T T T"
Cs 2.094 0.000 0.643
Cs 10.611 0.000 3.356
Pu 6.353 0.000 1.999
F 4.720 1.382 1.501
F 6.962 1.224 0.000
F 7.985 1.382 2.498
F 4.720 -1.382 1.501
F 6.962 -1.224 0.000
F 7.985 -1.382 2.498
```

Calculated values
VASP energy = -56.20 eV for the cell shown
size of the total moment = 4.000 μB/cell
uncorrected formation energy = -3.22 eV per atom

---

Entry 4:
DFT (PBE) results for Cs2PuF6 after structural relaxation.

```
18
Lattice="7.010 0.000 0.000 0.000 7.425 0.000 -6.204 0.000 9.894" Properties=species:S:1:pos:R:3 pbc="T T T"
Cs -0.047 0.439 2.411
Cs -3.149 3.274 7.358
Cs 3.954 4.152 2.536
Cs 0.852 6.986 7.483
Pu 3.505 0.000 0.000
Pu 0.403 3.713 4.947
F -4.476 1.164 9.494
F -1.374 2.548 4.547
F -0.578 5.405 4.025
F -3.680 5.733 8.972
F -1.903 0.606 7.985
F 1.199 3.106 3.039
F -0.393 4.319 6.855
F 2.709 6.819 1.908
F 4.486 1.692 0.922
F 1.384 2.020 5.869
F 2.180 4.877 5.346
F 5.282 6.261 0.399
```

Calculated values
VASP energy = -113.10 eV for the cell shown
size of the total moment = 8.000 μB/cell
uncorrected formation energy = -3.25 eV per atom

---

Entry 5:
DFT (PBE) results for CsPuF2 after structural relaxation.

```
4
Lattice="1.833 1.058 7.616 -1.833 1.058 7.616 0.000 -2.116 7.616" Properties=species:S:1:pos:R:3 pbc="T T T"
Cs 0.000 0.000 0.000
Pu 0.000 0.000 11.424
F 0.000 0.000 5.521
F 0.000 0.000 17.326
```

Calculated values
VASP energy = -27.40 eV for the cell shown
size of the total moment = 6.601 μB/cell
uncorrected formation energy = -2.12 eV per atom

---

Entry 6:
DFT (PBE) results for CsPuF4 after structural relaxation.

```
24
Lattice="6.624 0.000 0.000 0.000 3.859 0.000 0.000 0.000 16.961" Properties=species:S:1:pos:R:3 pbc="T T T"
Cs 1.517 0.965 3.311
Cs 1.795 2.894 11.791
Cs 4.828 0.965 5.170
Cs 5.107 2.894 13.650
Pu 1.641 2.894 7.552
Pu 1.670 0.965 16.033
Pu 4.953 2.894 0.928
Pu 4.982 0.965 9.409
F 0.069 2.894 16.106
F 0.726 0.965 13.940
F 0.775 0.965 6.437
F 0.837 0.965 9.145
F 2.475 2.894 0.665
F 2.537 2.894 14.917
F 2.586 2.894 5.459
F 3.242 0.965 7.625
F 3.381 2.894 9.336
F 4.038 0.965 11.502
F 4.087 0.965 2.044
F 4.149 0.965 16.296
F 5.787 2.894 7.816
F 5.848 2.894 10.524
F 5.898 2.894 3.021
F 6.554 0.965 0.855
```

Calculated values
VASP energy = -170.36 eV for the cell shown
size of the total moment = 20.000 μB/cell
uncorrected formation energy = -3.32 eV per atom
relative energy among the computed polymorphs = 0 meV/atom